[1]
A plane-wave DFT calculation with PBE was carried out for a relaxed TaTi3Al crystal.

```
TaTi3Al
1.0
4.7879 0.0000 0.0000
0.0000 4.7879 0.0000
0.0000 0.0000 4.7879
Ta Ti Al
1 3 1
Cartesian
0.0000 0.0000 0.0000
0.0000 0.0000 2.3940
0.0000 2.3940 0.0000
2.3940 0.0000 0.0000
2.3940 2.3940 2.3940
```

Calculated values
energy	-6.849	eV per atom
symmetry	Pm-3m
E above lowest polymorph	1095.7	meV per atom

[2]
A plane-wave DFT calculation with PBE was carried out for a relaxed TbDy6Ho12 crystal.

```
TbDy6Ho12
1.0
5.8968 3.4045 5.0225
-5.8968 3.4045 5.0225
0.0000 -6.8091 5.0225
Tb Dy Ho
1 6 12
Cartesian
0.0000 0.0000 0.0000
-3.5224 0.9109 5.2097
0.9723 -3.5059 5.2097
-2.5501 -2.5950 9.8577
2.5501 2.5950 5.2097
-0.9723 3.5059 9.8577
3.5224 -0.9109 9.8577
-1.1674 -1.6754 2.8841
-0.8673 1.8487 2.8841
-1.3590 -1.5161 6.2627
2.0346 -0.1733 2.8841
-1.9925 0.4189 8.8047
-0.6335 1.9350 6.2627
0.6335 -1.9349 8.8047
1.9924 -0.4189 6.2627
-2.0346 0.1733 12.1833
1.3590 1.5161 8.8047
0.8673 -1.8487 12.1833
1.1674 1.6754 12.1833
```

Calculated values
energy	-4.430	eV per atom
symmetry	R-3
E above lowest polymorph	0.0	meV per atom

[3]
A plane-wave DFT calculation with PBE was carried out for a relaxed YAsH3 crystal.

```
YAsH3
1.0
3.8462 0.0000 0.0000
0.0000 3.8462 0.0000
0.0000 0.0000 3.8462
Y As H
1 1 3
Cartesian
0.0000 0.0000 0.0000
1.9231 1.9231 1.9231
0.0000 1.9231 1.9231
1.9231 0.0000 1.9231
1.9231 1.9231 0.0000
```

Calculated values
energy	-3.995	eV per atom
symmetry	Pm-3m
E above lowest polymorph	96.9	meV per atom

[4]
A plane-wave DFT calculation with PBE was carried out for a relaxed SmHo2Er4Mg crystal.

```
SmHo2Er4Mg
1.0
4.9193 0.0000 0.0000
0.0000 4.9295 0.0000
0.0000 0.0000 9.9651
Sm Ho Er Mg
1 2 4 1
Cartesian
0.0000 0.0000 0.0000
0.0000 0.0000 4.9825
2.4596 2.4648 0.0000
0.0000 2.4648 2.5239
0.0000 2.4648 7.4412
2.4596 0.0000 2.5272
2.4596 0.0000 7.4379
2.4596 2.4648 4.9825
```

Calculated values
energy	-4.190	eV per atom
symmetry	Pmmm

[5]
A plane-wave DFT calculation with PBE was carried out for a relaxed NaTlIn crystal.

```
NaTlIn
1.0
5.3597 0.0000 0.0000
-2.6799 4.6417 0.0000
0.0000 0.0000 3.3871
Na Tl In
1 1 1
Cartesian
0.0000 0.0000 0.0000
2.6799 1.5472 1.6935
0.0000 3.0944 1.6935
```

Calculated values
energy	-2.226	eV per atom
symmetry	P-6m2
E above lowest polymorph	21.9	meV per atom

[6]
A plane-wave DFT calculation with PBE was carried out for a relaxed Tm2GaFeC crystal.

```
Tm2GaFeC
1.0
4.8703 0.0000 0.0000
0.0000 4.8703 0.0000
0.0000 0.0000 3.6678
Tm Ga Fe C
2 1 1 1
Cartesian
0.0000 2.4351 0.0000
2.4351 0.0000 0.0000
0.0000 0.0000 1.8339
2.4351 2.4351 1.8339
2.4351 2.4351 0.0000
```

Calculated values
energy	-6.362	eV per atom
symmetry	P4/mmm

[7]
A plane-wave DFT calculation with PBE was carried out for a relaxed KBa2Be crystal.

```
KBa2Be
1.0
4.8303 0.0000 0.0000
0.0000 4.4163 0.0000
-2.4090 0.0000 9.8295
K Ba Be
1 2 1
Cartesian
0.0000 0.0000 0.0000
0.0061 2.2081 6.3606
2.4196 0.0000 3.4430
0.0072 2.2081 2.9828
```

Calculated values
energy	-1.719	eV per atom
symmetry	Pm

[8]
A plane-wave DFT calculation with PBE was carried out for a relaxed LiGdGe2 crystal.

```
LiGdGe2
1.0
3.4176 0.0000 0.0000
0.0000 3.4176 0.0000
0.0000 0.0000 6.6065
Li Gd Ge
1 1 2
Cartesian
0.0000 0.0000 0.0000
0.0000 0.0000 3.3033
1.7088 1.7088 1.3306
1.7088 1.7088 5.2759
```

Calculated values
energy	-6.760	eV per atom
symmetry	P4/mmm
E above lowest polymorph	90.8	meV per atom

[9]
A plane-wave DFT calculation with PBE was carried out for a relaxed NaTlIn5 crystal.

```
NaTlIn5
1.0
5.7782 -4.5183 0.0000
5.7782 4.5183 0.0000
-1.9872 0.0000 7.6795
Na Tl In
2 2 10
Cartesian
4.2878 2.2891 5.7597
5.2814 -2.2891 1.9199
2.8891 2.2592 0.0000
1.8955 -2.2592 3.8398
5.2814 3.5347 1.9199
1.2338 0.8533 4.3735
2.2273 -0.8533 0.5338
3.9179 0.6706 2.7494
2.9243 -0.6706 6.5892
6.6448 0.6706 1.0903
5.6512 -0.6706 4.9301
7.3418 0.8533 7.1458
8.3354 -0.8533 3.3060
4.2878 -3.5347 5.7597
```

Calculated values
energy	-2.484	eV per atom
symmetry	C2/c

[10]
A plane-wave DFT calculation with PBE was carried out for a relaxed Be3BI crystal.

```
Be3BI
1.0
4.7094 0.0000 0.0000
0.0000 4.7094 0.0000
0.0000 0.0000 4.7094
Be B I
3 1 1
Cartesian
0.0000 0.0000 2.3547
0.0000 2.3547 0.0000
2.3547 0.0000 0.0000
2.3547 2.3547 2.3547
0.0000 0.0000 0.0000
```

Calculated values
energy	-1.352	eV per atom
symmetry	Pm-3m
raw formation energy	2529	meV/atom
E above lowest polymorph	1927.3	meV per atom

[11]
A plane-wave DFT calculation with PBE was carried out for a relaxed Co2AgCl crystal.

```
Co2AgCl
1.0
3.6483 -1.4395 0.0000
3.6483 1.4395 0.0000
-1.0142 0.0000 5.6371
Co Ag Cl
2 1 1
Cartesian
1.5995 0.0000 1.1023
4.6829 0.0000 4.5349
-0.5071 0.0000 2.8186
3.6483 0.0000 0.0000
```

Calculated values
energy	-4.141	eV per atom
symmetry	C2/m
raw formation energy	586	meV/atom
E above lowest polymorph	383.7	meV per atom

[12]
A plane-wave DFT calculation with PBE was carried out for a relaxed SbP2ClF crystal.

```
SbP2ClF
1.0
5.2376 0.0000 0.0000
0.0000 5.2376 0.0000
0.0000 0.0000 5.1335
Sb P Cl F
1 2 1 1
Cartesian
0.0000 0.0000 0.0000
0.0000 2.6188 0.0000
2.6188 0.0000 0.0000
0.0000 0.0000 2.5667
2.6188 2.6188 2.5667
```

Calculated values
energy	-3.096	eV per atom
symmetry	P4/mmm
raw formation energy	636	meV/atom
E above lowest polymorph	264.3	meV per atom

[13]
A plane-wave DFT calculation with PBE was carried out for a relaxed NpZnP2N6 crystal.

```
NpZnP2N6
1.0
4.9861 -4.6727 0.0000
4.9861 4.6727 0.0000
-1.3638 0.0000 4.8588
Np Zn P N
2 2 4 12
Cartesian
3.9633 2.6972 3.6441
4.6452 -2.6972 1.2147
4.6452 0.7440 1.2147
3.9633 -0.7440 3.6441
1.0446 0.7699 3.7959
1.7265 -0.7699 1.3665
6.8820 0.7699 3.4923
7.5639 -0.7699 1.0629
3.2265 2.5957 1.8194
1.4669 0.4712 0.2701
0.7850 -0.4712 2.6996
2.6090 0.9725 4.1767
6.0639 2.5957 0.6100
3.2909 -0.9725 1.7473
5.3176 0.9725 3.1115
2.5446 -2.5957 4.2488
5.9995 -0.9725 0.6821
7.8235 0.4712 2.1593
7.1416 -0.4712 4.5887
5.3820 -2.5957 3.0394
```

Calculated values
energy	-7.926	eV per atom
symmetry	C2/c
raw formation energy	-427	meV/atom

[14]
A plane-wave DFT calculation with PBE was carried out for a relaxed CePr6Er3 crystal.

```
CePr6Er3
1.0
4.9883 2.8800 3.9985
-4.9883 2.8800 3.9985
0.0000 -5.7600 3.9985
Ce Pr Er
1 6 3
Cartesian
0.0000 0.0000 0.0000
-1.6099 -2.9717 3.9985
-3.2591 0.0000 5.9978
-1.7686 2.8800 3.9985
1.6296 -2.8225 5.9978
3.3785 0.0916 3.9985
1.6296 2.8225 5.9978
0.0000 0.0000 2.9837
0.0000 0.0000 5.9978
0.0000 0.0000 9.0119
```

Calculated values
energy	-4.599	eV per atom
symmetry	R32

[15]
A plane-wave DFT calculation with PBE was carried out for a relaxed DyTm5Ru3 crystal.

```
DyTm5Ru3
1.0
6.0774 -4.4505 0.0000
6.0774 4.4505 0.0000
-3.7875 0.0000 9.0776
Dy Tm Ru
2 10 6
Cartesian
0.1156 0.0000 2.7308
8.2517 0.0000 6.3468
2.8205 2.6760 3.0033
2.7036 0.0000 0.2987
6.0774 1.7635 0.0000
5.5468 2.6760 6.0743
2.8453 0.0000 5.7264
5.5221 0.0000 3.3512
2.8205 -2.6760 3.0033
6.0774 -1.7635 0.0000
5.6637 0.0000 8.7789
5.5468 -2.6760 6.0743
0.0000 0.0000 0.0000
-1.8938 0.0000 4.5388
0.8868 0.0000 7.5592
2.8369 0.0000 3.0077
5.5304 0.0000 6.0699
7.4805 0.0000 1.5183
```

Calculated values
energy	-6.325	eV per atom
symmetry	C2/m